No. 1
DFT (PBE-GGA) results for an optimized crystal structure of Sm2Y2CI2BrCl2.

```
Sm2Y2CI2BrCl2
1.0
8.912 -1.958 0.000
8.912 1.958 0.000
-1.628 0.000 8.222
Y Sm C I Cl Br
2 2 1 2 2 1
direct
0.638 0.638 0.065 Y
0.362 0.362 0.935 Y
0.005 0.005 0.799 Sm
0.995 0.995 0.201 Sm
0.500 0.500 0.000 C
0.171 0.171 0.347 I
0.829 0.829 0.653 I
0.828 0.828 0.143 Cl
0.172 0.172 0.857 Cl
0.500 0.500 0.500 Br
```

=====

No. 2
Sm2Y2CI2Br2Cl | OQMD | PBE-GGA | relaxed; polymorph energy (0 for the lowest one) = 0.0259 eV/atom
1.0
9.216 -1.943 0.000
9.216 1.943 0.000
-1.661 0.000 7.984
C Cl Br Sm I Y
1 1 2 2 2 2
direct
0.500 0.500 0.000 C
0.500 0.500 0.500 Cl
0.833 0.833 0.180 Br
0.167 0.167 0.820 Br
0.363 0.363 0.931 Sm
0.637 0.637 0.069 Sm
0.163 0.163 0.367 I
0.837 0.837 0.633 I
0.003 0.003 0.797 Y
0.997 0.997 0.203 Y

=====

Quick rundown of electronic total energy, same order as above: -5.404; -5.316 eV/atom